Record 1
This record from Alexandria via LeMat-Bulk describes KTc2Sb after structural relaxation. The functional is PBE.

The space group is F-43m (No. 216) and the conventional cell measures 6.7122, 6.7122 and 6.7122 Å, with angles of 90.00, 90.00 and 90.00 degrees. The distinct sites, in fractional coordinates, are K at (0.0000, 0.0000, 0.0000), Tc at (0.0000, 0.0000, 0.5000), Tc at (0.2500, 0.2500, 0.7500) and Sb at (0.2500, 0.2500, 0.2500).

As for the formation energy from raw total energies: 0.980 eV per atom. As for the total magnetization: 0.01 μB per cell.



Record 2
This record from Alexandria via LeMat-Bulk describes InSN2Cl after structural relaxation. The functional is PBE.

The space group is P4/mmm (No. 123) and the conventional cell measures 4.3130, 4.3130 and 5.4720 Å, with angles of 90.00, 90.00 and 90.00 degrees. The distinct sites, in fractional coordinates, are In at (0.0000, 0.0000, 0.0000), S at (0.0000, 0.0000, 0.5000), N at (0.0000, 0.5000, 0.0000) and Cl at (0.5000, 0.5000, 0.5000).

As for the formation energy from raw total energies: 1.587 eV per atom. As for the total magnetization: 4.13 μB per cell. As for the energy above the lowest structure with this stoichiometry: 0.000 eV per atom.



Record 3
This record from Alexandria via LeMat-Bulk describes CuCF3 after structural relaxation. The functional is PBE.

The space group is Pm-3m (No. 221) and the conventional cell measures 3.9052, 3.9052 and 3.9052 Å, with angles of 90.00, 90.00 and 90.00 degrees. The distinct sites, in fractional coordinates, are Cu at (0.0000, 0.0000, 0.0000), C at (0.5000, 0.5000, 0.5000) and F at (0.0000, 0.0000, 0.5000).

As for the formation energy from raw total energies: 0.344 eV per atom. As for the total magnetization: 0.00 μB per cell. As for the energy above the lowest structure with this stoichiometry: 0.221 eV per atom.



Record 4
This record from Alexandria via LeMat-Bulk describes Nd2Al3PdAu12 after structural relaxation. The functional is PBE.

The space group is R-3m (No. 166, hexagonal axes) and the conventional cell measures 8.6894, 8.6894 and 19.0249 Å, with angles of 90.00, 90.00 and 120.00 degrees. The distinct sites, in fractional coordinates, are Nd at (0.0000, 0.0000, 0.1117), Al at (0.0000, 0.5000, 0.0000), Pd at (0.0000, 0.0000, 0.5000), Au at (0.0097, 0.5049, 0.8689) and Au at (0.0182, 0.5091, 0.3683).

The value obtained for the energy of formation is -0.14 eV/atom. As for the total magnetization: 0.00 μB per cell.



Record 5
This record from Alexandria via LeMat-Bulk describes BaSrBr2 after structural relaxation. The functional is PBE.

The space group is P2/m (No. 10) and the conventional cell measures 5.2007, 4.2676 and 6.7504 Å, with angles of 90.00, 104.83 and 90.00 degrees. The distinct sites, in fractional coordinates, are Ba at (0.0000, 0.0000, 0.0000), Sr at (0.5000, 0.5000, 0.5000), Br at (0.0000, 0.0000, 0.5000) and Br at (0.5000, 0.5000, 0.0000).

As for the formation energy from raw total energies: -1.435 eV per atom. As for the total magnetization: 0.00 μB per cell. As for the energy above the lowest structure with this stoichiometry: 0.066 eV per atom.



Record 6
This record from Alexandria via LeMat-Bulk describes Mg2TaCr after structural relaxation. The functional is PBE.

The space group is P4/mmm (No. 123) and the conventional cell measures 4.8944, 4.8944 and 3.1128 Å, with angles of 90.00, 90.00 and 90.00 degrees. The distinct sites, in fractional coordinates, are Mg at (0.0000, 0.5000, 0.0000), Ta at (0.0000, 0.0000, 0.5000) and Cr at (0.5000, 0.5000, 0.5000).

The value obtained for the energy of formation is 0.63 eV/atom. As for the total magnetization: 2.96 μB per cell. As for the energy above the lowest structure with this stoichiometry: 0.353 eV per atom.



Record 7
This record from Alexandria via LeMat-Bulk describes Ac2PrGe6 after structural relaxation. The functional is PBE.

The space group is P6/mmm (No. 191) and the conventional cell measures 7.8160, 7.8160 and 4.3594 Å, with angles of 90.00, 90.00 and 120.00 degrees. The distinct sites, in fractional coordinates, are Ac at (0.3333, 0.6667, 0.0000), Pr at (0.0000, 0.0000, 0.0000) and Ge at (0.0000, 0.3284, 0.5000).

The value obtained for the energy of formation is -0.59 eV/atom. As for the total magnetization: 0.00 μB per cell.



Record 8
This record from Alexandria via LeMat-Bulk describes La6NdIn2 after structural relaxation. The functional is PBE.

The space group is P4_2/mnm (No. 136) and the conventional cell measures 8.0096, 8.0096 and 11.3902 Å, with angles of 90.00, 90.00 and 90.00 degrees. The distinct sites, in fractional coordinates, are La at (0.2216, 0.2216, 0.1815), La at (0.2499, 0.2499, 0.5000), Nd at (0.0000, 0.0000, 0.0000) and In at (0.0000, 0.0000, 0.3668).

The value obtained for the energy of formation is 0.24 eV/atom. As for the total magnetization: 0.04 μB per cell. As for the energy above the lowest structure with this stoichiometry: 0.464 eV per atom.



Record 9
This record from Alexandria via LeMat-Bulk describes LiTc after structural relaxation. The functional is PBE.

The space group is Cmmm (No. 65) and the conventional cell measures 3.1917, 3.8495 and 4.6014 Å, with angles of 90.00, 90.00 and 90.00 degrees. The distinct sites, in fractional coordinates, are Li at (0.0000, 0.0000, 0.0000) and Tc at (0.0000, 0.5000, 0.5000).

The value obtained for the energy of formation is 0.26 eV/atom. As for the total magnetization: 0.00 μB per cell. As for the energy above the lowest structure with this stoichiometry: 0.165 eV per atom.



Record 10
This record from Alexandria via LeMat-Bulk describes LiAcTeO4 after structural relaxation. The functional is PBE.

The space group is P2_1/m (No. 11) and the conventional cell measures 5.8356, 5.7396 and 7.2282 Å, with angles of 90.00, 112.48 and 90.00 degrees. The distinct sites, in fractional coordinates, are Li at (0.1288, 0.2500, 0.2242), Ac at (0.2597, 0.7500, 0.5310), Te at (0.4959, 0.7500, 0.1408), O at (0.1834, 0.2500, 0.5415), O at (0.2266, 0.7500, 0.8737) and O at (0.3579, 0.5101, 0.2524).

As for the formation energy from raw total energies: -2.147 eV per atom. As for the total magnetization: 0.00 μB per cell.



Record 11
This record from Alexandria via LeMat-Bulk describes VCd2CoC after structural relaxation. The functional is PBE.

The space group is P4/mmm (No. 123) and the conventional cell measures 4.6683, 4.6683 and 3.5927 Å, with angles of 90.00, 90.00 and 90.00 degrees. The distinct sites, in fractional coordinates, are V at (0.0000, 0.0000, 0.0000), Cd at (0.0000, 0.5000, 0.5000), Co at (0.5000, 0.5000, 0.0000) and C at (0.5000, 0.5000, 0.5000).

The value obtained for the energy of formation is 0.91 eV/atom. As for the total magnetization: 0.15 μB per cell.



Record 12
This record from Alexandria via LeMat-Bulk describes DyScIn2 after structural relaxation. The functional is PBE.

The space group is Pmma (No. 51) and the conventional cell measures 5.1978, 3.6382 and 10.4065 Å, with angles of 90.00, 90.00 and 90.00 degrees. The distinct sites, in fractional coordinates, are Dy at (0.2500, 0.0000, 0.1222), Sc at (0.2500, 0.0000, 0.6187), In at (0.2500, 0.5000, 0.3800) and In at (0.2500, 0.5000, 0.8596).

The value obtained for the energy of formation is -0.43 eV/atom. As for the total magnetization: 0.00 μB per cell.